(1)
Here is a relaxed Tm3AlAg crystal from Alexandria via LeMat-Bulk. Energies are from PBE. Values from VASP.

Output
- Energy above the most stable polymorph in this dataset: 0.000 eV/f.u.
- Energy of formation from the pure elements: -0.2602 eV/atom
- Size of the total moment: 0.0002 μB per atom

The structure in Quantum ESPRESSO input format:
```
&SYSTEM
  ibrav = 0, nat = 10, ntyp = 3
/
ATOMIC_SPECIES
Tm 168.93 Tm.upf
Ag 107.87 Ag.upf
Al 26.98 Al.upf
CELL_PARAMETERS angstrom
-2.0314 0.3808 -4.5269
2.1294 -4.3015 -1.3174
-9.0966 -4.7922 0.9436
ATOMIC_POSITIONS angstrom
Tm -5.1748 -3.2482 -2.4598
Tm -0.1081 -3.7480 -2.0402
Ag -5.5626 -6.2946 -2.5420
Tm -3.1095 -5.5986 -0.8491
Tm -2.1513 -1.3839 -3.6597
Tm -8.1762 -5.0988 -1.2687
Tm -8.1643 -7.0820 -4.1761
Al -2.6135 -4.4762 -3.7124
Al -7.7021 -3.9898 -4.1233
Ag -2.7216 -2.5522 -0.7668
```



(2)
Here is a relaxed K2CoAg2 crystal from Alexandria via LeMat-Bulk. Energies are from PBE. Values from VASP.

Output
- Energy of formation from the pure elements: 0.4915 eV/atom
- Size of the total moment: 0.2843 μB per atom

The structure in Quantum ESPRESSO input format:
```
&SYSTEM
  ibrav = 0, nat = 10, ntyp = 3
/
ATOMIC_SPECIES
K 39.10 K.upf
Co 58.93 Co.upf
Ag 107.87 Ag.upf
CELL_PARAMETERS angstrom
6.9515 0.0000 0.0000
0.0000 6.9515 0.0000
0.0000 0.0000 5.5079
ATOMIC_POSITIONS angstrom
K 5.7199 2.2441 2.7540
Co 0.0000 0.0000 0.0000
K 2.2441 1.2316 2.7540
Ag 1.0051 2.4707 0.0000
K 4.7074 5.7199 2.7540
Ag 4.4808 1.0051 0.0000
Ag 2.4707 5.9465 0.0000
K 1.2316 4.7074 2.7540
Co 3.4758 3.4758 0.0000
Ag 5.9465 4.4808 0.0000
```